ErNpBi2 | PBE | relaxed

POSCAR file:
```
ErNpBi2
1.0
5.316 0.000 0.000
0.000 5.316 0.000
0.000 0.000 4.053
Er Np Bi
1 1 2
Cartesian
0.000 0.000 0.000
2.658 2.658 0.000
0.000 2.658 2.026
2.658 0.000 2.026
```

Summary:
Formation energy: -0.182 eV per atom
Energy above the most stable polymorph in this dataset: 0.64 eV/f.u.
Crystal system: tetragonal

Hg12As5I3 | PBE | relaxed

POSCAR file:
```
Hg12As5I3
1.0
-8.760 8.760 8.760
8.760 -8.760 8.760
8.760 8.760 -8.760
Hg As I
48 20 12
Cartesian
2.374 -0.856 1.111
10.766 5.491 -5.236
7.904 -1.111 2.374
13.995 -2.006 3.269
1.111 2.374 -0.856
12.029 3.524 -2.006
11.133 0.856 1.111
10.766 -3.269 5.236
5.491 5.236 -2.006
7.649 2.374 0.856
-0.856 1.111 2.374
5.236 -2.006 5.491
7.904 7.649 -2.374
5.236 2.006 3.269
7.649 -2.374 7.904
5.491 -5.236 10.766
2.374 7.904 -1.111
10.766 3.269 3.524
3.269 5.236 2.006
9.871 6.386 0.856
5.236 10.766 -3.269
7.904 1.111 6.386
2.006 3.269 5.236
2.374 0.856 7.649
6.386 7.904 1.111
6.754 5.491 3.524
0.856 7.649 2.374
3.524 -2.006 12.029
-1.111 2.374 7.904
5.491 3.524 6.754
-2.006 5.491 5.236
6.386 0.856 9.871
3.269 13.995 -2.006
1.111 11.133 0.856
3.524 6.754 5.491
0.856 1.111 11.133
3.524 10.766 3.269
9.615 7.649 6.386
1.111 6.386 7.904
3.269 3.524 10.766
-2.006 12.029 3.524
-2.374 7.904 7.649
-3.269 5.236 10.766
7.649 6.386 9.615
-5.236 10.766 5.491
0.856 9.871 6.386
-2.006 3.269 13.995
6.386 9.615 7.649
0.000 0.000 0.000
4.380 4.380 -4.380
4.380 -4.380 4.380
8.760 0.000 0.000
13.140 2.190 0.000
8.760 -4.380 6.570
6.570 8.760 -4.380
6.570 0.000 4.380
4.380 6.570 0.000
8.760 4.380 2.190
-4.380 4.380 4.380
0.000 8.760 0.000
0.000 0.000 8.760
4.380 4.380 4.380
0.000 4.380 6.570
4.380 2.190 8.760
2.190 8.760 4.380
2.190 0.000 13.140
0.000 13.140 2.190
-4.380 6.570 8.760
4.380 2.190 0.000
8.760 4.380 -2.190
2.190 0.000 4.380
10.950 0.000 4.380
0.000 4.380 2.190
4.380 -2.190 8.760
4.380 10.950 0.000
8.760 4.380 6.570
-2.190 8.760 4.380
6.570 8.760 4.380
0.000 4.380 10.950
4.380 6.570 8.760
```

Summary:
Formation energy without anion corrections: 8.4 kJ/mol of atoms
Crystal system: cubic

AcTbBi2O8 | PBE | relaxed

POSCAR file:
```
AcTbBi2O8
1.0
-2.780 2.780 5.849
2.780 -2.780 5.849
2.780 2.780 -5.849
Ac Tb Bi O
1 1 2 8
Cartesian
0.000 0.000 0.000
2.780 0.000 2.924
0.000 0.000 5.849
0.000 2.780 2.924
1.406 1.139 -1.880
1.417 -0.990 4.707
1.791 1.364 1.141
1.642 -1.374 7.728
1.364 3.770 -1.141
1.374 1.642 3.969
0.990 1.417 6.990
1.139 4.155 1.880
```

Summary:
Formation energy without anion corrections: -187.4 kJ/mol of atoms
Crystal system: tetragonal

Sm4Ge3S12 | PBE | relaxed

POSCAR file:
```
Sm4Ge3S12
1.0
9.705 5.603 2.640
-9.705 5.603 2.640
0.000 -11.207 2.640
Sm Ge S
8 6 24
Cartesian
0.000 0.000 0.000
-5.202 -5.481 3.550
-4.503 0.122 2.231
2.145 -3.961 2.231
0.000 0.000 3.959
2.357 3.838 2.231
-2.145 7.246 3.550
7.348 -1.765 3.550
-8.012 -2.267 3.977
-2.043 -3.134 2.657
-1.693 3.337 2.657
3.736 -0.202 2.657
5.969 -5.806 3.977
2.043 8.072 3.977
-5.888 2.542 2.671
-1.821 -0.976 1.982
-2.572 -6.587 3.685
0.743 -6.370 2.671
-6.872 -3.697 5.235
-3.817 -3.061 3.991
1.756 -1.090 1.982
0.066 2.065 1.982
-5.286 -0.082 5.005
-0.234 -3.406 3.915
-4.419 5.521 3.685
-2.833 1.906 3.915
-0.743 4.836 3.991
-1.756 -1.090 5.941
2.714 -4.537 5.005
4.560 -1.775 3.991
3.067 1.500 3.915
5.146 3.828 2.671
-0.066 2.065 5.941
1.821 -0.976 5.941
6.991 1.066 3.685
6.638 -4.103 5.235
2.572 4.619 5.005
0.234 7.800 5.235
```

Summary:
Formation energy without anion corrections: -119.5 kJ/mol of atoms
Crystal system: trigonal

Y4TeAs | PBE | relaxed

POSCAR file:
```
Y4TeAs
1.0
0.000 4.403 4.403
4.403 0.000 4.403
4.403 4.403 0.000
Y Te As
4 1 1
Cartesian
1.097 1.097 1.097
3.306 3.306 1.097
3.306 1.097 3.306
1.097 3.306 3.306
4.403 4.403 4.403
6.605 6.605 6.605
```

Summary:
Formation energy without anion corrections: 1.8 kJ/mol of atoms
Crystal system: cubic

AgP5 | PBE | relaxed

POSCAR file:
```
AgP5
1.0
0.000 3.780 3.780
3.780 0.000 3.780
3.780 3.780 0.000
Ag P
1 5
Cartesian
0.000 0.000 0.000
4.589 2.971 2.971
1.890 1.890 1.890
2.971 4.589 2.971
2.971 2.971 4.589
4.589 4.589 4.589
```

Summary:
Formation energy: 0.795 eV per atom
Energy above the most stable polymorph in this dataset: 3.24 eV/f.u.
Crystal system: cubic

Dy3Ag4Hg4 | PBE | relaxed

POSCAR file:
```
Dy3Ag4Hg4
1.0
3.361 0.000 0.000
0.000 4.877 0.000
-1.664 -2.433 15.171
Dy Ag Hg
3 4 4
Cartesian
0.000 0.000 0.000
0.005 2.437 4.232
1.693 0.006 10.940
0.011 0.004 8.063
0.012 2.445 12.373
1.685 -0.002 2.798
1.687 2.439 7.108
0.010 2.443 9.564
0.014 0.006 13.725
1.683 2.437 1.447
1.687 0.000 5.607
```

Summary:
Formation energy: -0.270 eV per atom
Crystal system: triclinic

Ba4HoPa3N8 | PBE | relaxed

POSCAR file:
```
Ba4HoPa3N8
1.0
3.629 2.095 6.461
-3.629 2.095 6.461
0.000 -4.191 6.461
Ba Ho Pa N
4 1 3 8
Cartesian
0.000 0.000 0.000
-1.815 -1.048 6.461
-1.815 1.048 12.922
0.000 2.095 6.461
0.000 0.000 9.692
-3.629 0.000 9.692
-1.815 1.048 3.231
1.815 1.048 3.231
-1.900 -1.097 10.823
0.000 0.000 4.355
0.000 -2.194 8.560
-1.900 1.097 8.560
1.900 -1.097 10.823
0.000 2.194 10.823
0.000 0.000 15.028
1.900 1.097 8.560
```

Summary:
Formation energy without anion corrections: -122.2 kJ/mol of atoms
Crystal system: trigonal

| no. | total magnetic moment (μB per formula unit) |
| --- | --- |
| 1 | 4.7 |
| 2 | 0.0 |
| 3 | 0.0 |
| 4 | 0.0 |
| 5 | 0.0 |
| 6 | 0.0 |
| 7 | 0.0 |
| 8 | 0.0 |